No. 1
Here is crystalline Cu2PdPb at its relaxed geometry from Alexandria via LeMat-Bulk. Energies are from PBE-GGA.

Cell: 4.1025 4.1025 3.8686 Å, 90.00 90.00 90.00°
With the nearest neighbours (Å) after each atom.
Space group P4/mmm (No. 123)
Unique sites:
Cu1 0.0000 0.5000 0.0000 (multiplicity 2)  4 Pb 2.82, 4 Pd 2.82, 4 Cu 2.90
Pd1 0.0000 0.0000 0.5000 (multiplicity 1)  8 Cu 2.82, 4 Pb 2.90
Pb1 0.5000 0.5000 0.5000 (multiplicity 1)  8 Cu 2.82, 4 Pd 2.90

**Magnetic moment**: 0.0 μB per formula unit
**Formation energy**: 0.0586 eV/atom
**E**: -4.21 eV/atom
**DOS(E_F)**: 0.540 states/eV per atom

No. 2
Here is crystalline CuPdPb2 at its relaxed geometry from Alexandria via LeMat-Bulk. Energies are from PBE-GGA.

Cell: 3.4252 3.4252 28.0469 Å, 90.00 90.00 120.00°
With the nearest neighbours (Å) after each atom.
Space group R-3m (No. 166, hexagonal axes)
Unique sites:
Cu1 0.0000 0.0000 0.0000 (multiplicity 3)  2 Pb 2.60
Pd1 0.0000 0.0000 0.5000 (multiplicity 3)  6 Pb 2.86
Pb1 0.0000 0.0000 0.0928 (multiplicity 6)  1 Cu 2.60, 3 Pd 2.86

**Magnetic moment**: 0.0 μB per formula unit
**Formation energy**: 0.1930 eV/atom
**E**: -3.98 eV/atom
**DOS(E_F)**: 0.479 states/eV per atom

No. 3
Here is crystalline CuPd4Pb at its relaxed geometry from Alexandria via LeMat-Bulk. Energies are from PBE-GGA.

Cell: 4.8432 8.7593 4.8022 Å, 90.00 106.05 90.00°
With the nearest neighbours (Å) after each atom.
Space group C2/m (No. 12)
Unique sites:
Cu1 0.0000 0.0000 0.0000 (multiplicity 2)  10 Pd 2.79-2.91, 2 Pb 2.90
Pd1 0.0000 0.1611 0.5000 (multiplicity 4)  2 Cu 2.79, 3 Pb 2.80-2.97, 7 Pd 2.82-2.90
Pd2 0.0000 0.3320 0.0000 (multiplicity 4)  7 Pd 2.82-2.94, 2 Pb 2.82, 3 Cu 2.83-2.91
Pb1 0.0000 0.5000 0.5000 (multiplicity 2)  10 Pd 2.80-2.97, 2 Cu 2.90

**Magnetic moment**: 0.0 μB per formula unit
**Formation energy**: -0.1505 eV/atom
**E**: -4.91 eV/atom
**DOS(E_F)**: 0.451 states/eV per atom

No. 4
Here is crystalline Cu2Pd8Pb at its relaxed geometry from Alexandria via LeMat-Bulk. Energies are from PBE-GGA.

Cell: 14.1076 4.0363 6.2707 Å, 90.00 106.23 90.00°
With the nearest neighbours (Å) after each atom.
Space group C2/m (No. 12)
Unique sites:
Cu1 0.2271 0.0000 0.1396 (multiplicity 4)  10 Pd 2.65-2.84, 2 Cu 2.86
Pd1 0.0485 0.0000 0.2245 (multiplicity 4)  1 Cu 2.72, 9 Pd 2.77-2.94, 2 Pb 2.86
Pd2 0.0987 0.5000 0.9670 (multiplicity 4)  3 Cu 2.72-2.73, 8 Pd 2.74-2.93, 1 Pb 2.87
Pd3 0.1456 0.0000 0.7049 (multiplicity 4)  3 Cu 2.65-2.70, 7 Pd 2.71-2.94, 2 Pb 2.91
Pd4 0.1844 0.5000 0.4174 (multiplicity 4)  3 Cu 2.71-2.84, 8 Pd 2.71-2.86, 1 Pb 2.79
Pb1 0.0000 0.5000 0.5000 (multiplicity 2)  12 Pd 2.79-2.91

**Magnetic moment**: 0.0 μB per formula unit
**Formation energy**: -0.1292 eV/atom
**E**: -4.99 eV/atom
**DOS(E_F)**: 0.938 states/eV per atom

No. 5
Here is crystalline Cu2PdPb2 at its relaxed geometry from Alexandria via LeMat-Bulk. Energies are from PBE-GGA.

Cell: 3.4385 3.4385 16.8602 Å, 90.00 90.00 90.00°
With the nearest neighbours (Å) after each atom.
Space group I4/mmm (No. 139)
Unique sites:
Cu1 0.0000 0.5000 0.2500 (multiplicity 4)  4 Cu 2.43
Pd1 0.0000 0.0000 0.0000 (multiplicity 2)  8 Pb 3.01
Pb1 0.0000 0.0000 0.3951 (multiplicity 4)  4 Cu 2.99, 4 Pd 3.01

**Magnetic moment**: 0.0 μB per formula unit
**Formation energy**: 0.0908 eV/atom
**E**: -4.07 eV/atom
**DOS(E_F)**: 0.427 states/eV per atom

No. 6
Here is crystalline CuPd12Pb3 at its relaxed geometry from Alexandria via LeMat-Bulk. Energies are from PBE-GGA.

Cell: 4.0880 4.0880 16.0649 Å, 90.00 90.00 90.00°
With the nearest neighbours (Å) after each atom.
Space group P4/mmm (No. 123)
Unique sites:
Cu1 0.0000 0.0000 0.0000 (multiplicity 1)  12 Pd 2.73-2.89
Pd1 0.0000 0.5000 0.1130 (multiplicity 4)  2 Cu 2.73, 8 Pd 2.73-2.93, 2 Pb 2.89
Pd2 0.0000 0.5000 0.3709 (multiplicity 4)  8 Pd 2.89-2.91, 4 Pb 2.91-2.93
Pd3 0.5000 0.5000 0.0000 (multiplicity 1)  8 Pd 2.73, 4 Cu 2.89
Pd4 0.5000 0.5000 0.2435 (multiplicity 2)  4 Pb 2.89, 8 Pd 2.89-2.93
Pd5 0.5000 0.5000 0.5000 (multiplicity 1)  4 Pb 2.89, 8 Pd 2.91
Pb1 0.0000 0.0000 0.2400 (multiplicity 2)  12 Pd 2.89-2.93
Pb2 0.0000 0.0000 0.5000 (multiplicity 1)  12 Pd 2.89-2.91

**Magnetic moment**: 0.0 μB per formula unit
**Formation energy**: -0.2060 eV/atom
**E**: -5.05 eV/atom
**DOS(E_F)**: 0.890 states/eV per atom